--- a ---
Density functional theory data (PBEsol) for a relaxed In2HgTe crystal.

Cell and atoms, written as POSCAR:
```
In2HgTe
1.0
3.795 0.000 0.000
0.000 3.795 0.000
0.000 0.000 7.295
In Hg Te
2 1 1
direct
0.000 0.000 0.250
0.000 0.000 0.750
0.500 0.500 0.000
0.500 0.500 0.500
```



--- b ---
Density functional theory data (PBEsol) for a relaxed In2HgTe crystal.

Cell and atoms, written as POSCAR:
```
In2HgTe
1.0
2.079 1.201 7.384
-2.079 1.201 7.384
0.000 -2.401 7.384
In Hg Te
2 1 1
direct
0.248 0.248 0.248
0.752 0.752 0.752
0.500 0.500 0.500
0.000 0.000 0.000
```



It is a that is the least stable of them.